Entry from Alexandria: an optimized crystal structure of Dy2MgIr9 (PBE-GGA).

Computed properties:
V	17.6	Å³/atom
D(E_F)	12.12	states/eV/f.u.
calculated formation energy	-4.52	eV per formula unit

Cell: 5.2656 5.2656 26.4304 Å, 90.00 90.00 120.00°
Space group R-3m (No. 166, hexagonal axes)
Unique sites:
1 Dy 0.0000 0.0000 0.1373 (multiplicity 6)
2 Mg 0.0000 0.0000 0.0000 (multiplicity 3)
3 Ir 0.0000 0.0000 0.3330 (multiplicity 6)
4 Ir 0.0000 0.0000 0.5000 (multiplicity 3)
5 Ir 0.0002 0.5001 0.0822 (multiplicity 18)

---

Entry from Alexandria: an optimized crystal structure of Li2ZnTc (PBE-GGA).

Computed properties:
V	14.4	Å³/atom
D(E_F)	3.41	states/eV/f.u.
calculated formation energy	0.74	eV per formula unit

Cell: 2.4811 4.4195 5.2402 Å, 90.00 90.00 90.00°
Space group Pmmm (No. 47)
Unique sites:
1 Li 0.0000 0.0000 0.2367 (multiplicity 2)
2 Zn 0.5000 0.5000 0.5000 (multiplicity 1)
3 Tc 0.5000 0.5000 0.0000 (multiplicity 1)

---

Entry from Alexandria: an optimized crystal structure of PrEr2Tm (PBE-GGA).

Computed properties:
V	32.2	Å³/atom
D(E_F)	6.53	states/eV/f.u.
calculated formation energy	0.06	eV per formula unit

Cell: 3.6374 11.3302 6.2433 Å, 90.00 90.00 90.00°
Space group Imm2 (No. 44)
Unique sites:
1 Pr 0.0000 0.0000 0.0000 (multiplicity 2)
2 Er 0.0000 0.2469 0.6606 (multiplicity 4)
3 Tm 0.0000 0.5000 0.9954 (multiplicity 2)